# 1
The following is a PBE calculation of SrSiTe after structural relaxation, from Alexandria.

Properties
- Uncorrected energy: -3.57 eV per atom
- Density of states at the Fermi level: 2.56 states/eV/f.u.
- E_form (uncorrected): -0.156 eV/atom

Cell lengths 7.2847, 7.2847, 7.2847 Å; angles 90.00, 90.00, 90.00 degrees
With the nearest neighbours (Å) after each atom.
Space group F-43m (No. 216)
One atom of each set of equivalent atoms:
Sr: 0.0000 0.0000 0.0000  4 Si 3.15
Si: 0.2500 0.2500 0.7500  4 Te 3.15, 4 Sr 3.15
Te: 0.0000 0.0000 0.5000  4 Si 3.15


# 2
The following is a PBE calculation of NaAsAu3 after structural relaxation, from Alexandria.

Properties
- Formation energy from the elements: 0.973 eV/atom
- Uncorrected energy: -2.19 eV per atom
- Density of states at the Fermi level: 2.99 states/eV/f.u.

Cell lengths 4.8824, 4.8824, 4.8824 Å; angles 90.00, 90.00, 90.00 degrees
With the nearest neighbours (Å) after each atom.
Space group Pm-3m (No. 221)
One atom of each set of equivalent atoms:
Na: 0.0000 0.0000 0.0000  6 Au 2.44
As: 0.5000 0.5000 0.5000  12 Au 3.45
Au: 0.0000 0.0000 0.5000  2 Na 2.44


# 3
The following is a PBE calculation of BaNd2Rh after structural relaxation, from Alexandria.

Properties
- Formation energy from the elements: -0.339 eV/atom
- Uncorrected energy: -5.04 eV per atom
- Density of states at the Fermi level: 4.00 states/eV/f.u.

Cell lengths 4.2215, 4.2215, 29.6078 Å; angles 90.00, 90.00, 120.00 degrees
With the nearest neighbours (Å) after each atom.
Space group R3m (No. 160, hexagonal axes)
One atom of each set of equivalent atoms:
Ba: 0.0000 0.0000 0.0000  6 Nd 4.19-4.27, 6 Ba 4.22
Nd: 0.0000 0.0000 0.2182  3 Rh 2.85
Nd: 0.0000 0.0000 0.4520  3 Rh 2.85
Rh: 0.0000 0.0000 0.8351  6 Nd 2.85


# 4
The following is a PBE calculation of Nd3Cd3Ag8 after structural relaxation, from Alexandria.

Properties
- Formation energy from the elements: -0.202 eV/atom
- Uncorrected energy: -3.05 eV per atom
- Density of states at the Fermi level: 8.49 states/eV/f.u.

Cell lengths 4.7221, 9.8933, 13.6504 Å; angles 90.00, 90.00, 90.00 degrees
With the nearest neighbours (Å) after each atom.
Space group Immm (No. 71)
One atom of each set of equivalent atoms:
Nd: 0.0000 0.0000 0.0000  12 Ag 3.35-3.52
Nd: 0.0000 0.0000 0.2935  10 Ag 3.25-3.53, 2 Cd 3.40
Cd: 0.0000 0.1924 0.5000  6 Ag 2.80-3.01, 2 Cd 3.03
Cd: 0.0000 0.5000 0.0000  4 Ag 2.84, 4 Cd 3.03
Ag: 0.0000 0.2824 0.1354  3 Ag 2.79-2.85, 3 Cd 2.84-3.01
Ag: 0.0000 0.3629 0.3360  4 Ag 2.71-2.85, 1 Cd 2.80


# 5
The following is a PBE calculation of Y3Ta5 after structural relaxation, from Alexandria.

Properties
- Formation energy from the elements: 0.678 eV/atom
- Uncorrected energy: -9.15 eV per atom
- Density of states at the Fermi level: 7.97 states/eV/f.u.

Cell lengths 9.3781, 9.3781, 5.2211 Å; angles 90.00, 90.00, 120.00 degrees
With the nearest neighbours (Å) after each atom.
Space group P6_3/mcm (No. 193)
One atom of each set of equivalent atoms:
Y: 0.0000 0.3799 0.2500  8 Ta 3.09-3.28, 2 Y 3.45
Ta: 0.0000 0.1675 0.7500  6 Ta 2.72-3.05
Ta: 0.3333 0.6667 0.0000  2 Ta 2.61


# 6
The following is a PBE calculation of BaZn2Ni after structural relaxation, from Alexandria.

Properties
- Formation energy from the elements: -0.193 eV/atom
- Uncorrected energy: -2.76 eV per atom
- Density of states at the Fermi level: 2.54 states/eV/f.u.

Cell lengths 7.5413, 4.3484, 6.2193 Å; angles 90.00, 114.02, 90.00 degrees
With the nearest neighbours (Å) after each atom.
Space group Cm (No. 8)
One atom of each set of equivalent atoms:
Ba: 0.0000 0.0000 0.0000  1 Ni 3.14, 1 Zn 3.19
Zn: 0.1852 0.0000 0.5614  3 Zn 2.57-2.58, 3 Ni 2.59-2.60
Zn: 0.4852 0.0000 0.4620  3 Ni 2.51, 3 Zn 2.57-2.58
Ni: 0.3135 0.5000 0.4480  6 Zn 2.51-2.60


# 7
The following is a PBE calculation of Ac3Si4Pt2 after structural relaxation, from Alexandria.

Properties
- Uncorrected energy: -6.09 eV per atom
- Density of states at the Fermi level: 5.20 states/eV/f.u.
- E_form (uncorrected): -0.967 eV/atom

Cell lengths 11.7936, 4.2678, 8.6540 Å; angles 90.00, 97.37, 90.00 degrees
With the nearest neighbours (Å) after each atom.
Space group C2/m (No. 12)
One atom of each set of equivalent atoms:
Ac: 0.0000 0.0000 0.0000  8 Si 3.32-3.40, 4 Pt 3.34
Ac: 0.1661 0.5000 0.6636  8 Si 3.31-3.45, 4 Pt 3.33-3.41
Si: 0.0526 0.0000 0.3864  2 Pt 2.45, 1 Si 2.46
Si: 0.2250 0.5000 0.0649  1 Pt 2.44, 2 Si 2.52
Pt: 0.1073 0.5000 0.2772  3 Si 2.44-2.45


# 8
The following is a PBE calculation of Li2IrRh after structural relaxation, from Alexandria.

Properties
- Formation energy from the elements: -0.180 eV/atom
- Uncorrected energy: -5.19 eV per atom
- Density of states at the Fermi level: 3.32 states/eV/f.u.

Cell lengths 2.7016, 4.5548, 8.8443 Å; angles 90.00, 90.00, 90.00 degrees
With the nearest neighbours (Å) after each atom.
Space group Immm (No. 71)
One atom of each set of equivalent atoms:
Li: 0.0000 0.0000 0.2477  2 Rh 2.57, 2 Ir 2.61, 6 Li 2.65-2.70
Ir: 0.0000 0.5000 0.0000  4 Li 2.61, 4 Rh 2.65, 2 Ir 2.70
Rh: 0.0000 0.5000 0.5000  4 Li 2.57, 4 Ir 2.65, 2 Rh 2.70


# 9
The following is a PBE calculation of KCd2Tc after structural relaxation, from Alexandria.

Properties
- Formation energy from the elements: 0.640 eV/atom
- Uncorrected energy: -2.68 eV per atom
- Density of states at the Fermi level: 3.87 states/eV/f.u.

Cell lengths 2.8152, 4.6533, 8.1548 Å; angles 90.00, 90.00, 90.00 degrees
With the nearest neighbours (Å) after each atom.
Space group Pmm2 (No. 25)
One atom of each set of equivalent atoms:
K: 0.0000 0.0000 0.0000  2 K 2.82
Cd: 0.0000 0.0000 0.4199  2 Cd 2.82, 4 Tc 2.82
Cd: 0.5000 0.5000 0.6703  1 Tc 2.79, 2 Cd 2.82
Tc: 0.5000 0.5000 0.3277  5 Cd 2.79-2.82, 2 Tc 2.82


# 10
The following is a PBE calculation of LiTb2US6 after structural relaxation, from Alexandria.

Properties
- Uncorrected energy: -6.04 eV per atom
- Density of states at the Fermi level: 5.56 states/eV/f.u.
- E_form (uncorrected): -1.314 eV/atom

Cell lengths 6.3374, 6.3374, 6.3251 Å; angles 90.00, 90.00, 90.00 degrees
With the nearest neighbours (Å) after each atom.
Space group P4mm (No. 99)
One atom of each set of equivalent atoms:
Li: 0.0000 0.0000 0.0000  5 S 2.33-2.52
Tb: 0.0000 0.5000 0.4550  4 S 2.74
U: 0.5000 0.5000 0.0578  5 S 2.51-2.64
S: 0.0000 0.0000 0.6323  1 Li 2.33
S: 0.2402 0.2402 0.2062  1 U 2.51, 1 Li 2.52, 2 Tb 2.74
S: 0.5000 0.5000 0.6408  1 U 2.64


# 11
The following is a PBE calculation of BeC4 after structural relaxation, from Alexandria.

Properties
- Formation energy from the elements: 3.547 eV/atom
- Uncorrected energy: -4.58 eV per atom
- Density of states at the Fermi level: 2.47 states/eV/f.u.

Cell lengths 3.5017, 3.5017, 3.5017 Å; angles 90.00, 90.00, 90.00 degrees
With the nearest neighbours (Å) after each atom.
Space group Pm-3m (No. 221)
One atom of each set of equivalent atoms:
Be: 0.0000 0.0000 0.0000  6 C 1.75
C: 0.0000 0.0000 0.5000  2 Be 1.75
C: 0.5000 0.5000 0.5000  12 C 2.48


# 12
The following is a PBE calculation of Y3Er3Mg after structural relaxation, from Alexandria.

Properties
- Formation energy from the elements: 0.022 eV/atom
- Uncorrected energy: -4.93 eV per atom
- Density of states at the Fermi level: 12.52 states/eV/f.u.

Cell lengths 9.3875, 9.3875, 5.6011 Å; angles 90.00, 90.00, 120.00 degrees
With the nearest neighbours (Å) after each atom.
Space group P6_3/m (No. 176)
One atom of each set of equivalent atoms:
Y: 0.0583 0.8147 0.2500  5 Er 3.46-3.61, 6 Y 3.48-3.58, 1 Mg 3.49
Er: 0.1032 0.6235 0.7500  3 Mg 3.43-3.61, 4 Er 3.44-3.53, 5 Y 3.46-3.61
Mg: 0.3333 0.6667 0.2500  9 Er 3.43-3.61, 3 Y 3.49


# 13
The following is a PBE calculation of Cs3Tb2PuTe6 after structural relaxation, from Alexandria.

Properties
- Uncorrected energy: -5.04 eV per atom
- Density of states at the Fermi level: 14.03 states/eV/f.u.
- E_form (uncorrected): -1.287 eV/atom

Cell lengths 7.9736, 13.8111, 9.2889 Å; angles 90.00, 106.63, 90.00 degrees
With the nearest neighbours (Å) after each atom.
Space group C2/m (No. 12)
One atom of each set of equivalent atoms:
Cs: 0.0000 0.0000 0.0000  6 Te 3.81-3.84
Cs: 0.0000 0.3336 0.0000  6 Te 3.82-3.84
Tb: 0.0000 0.1666 0.5000  6 Te 3.14
Pu: 0.0000 0.5000 0.5000  6 Te 3.17
Te: 0.2265 0.0000 0.6898  2 Tb 3.14, 1 Pu 3.17
Te: 0.2316 0.3316 0.6898  2 Tb 3.14, 1 Pu 3.17


# 14
The following is a PBE calculation of BaTbCd2In2 after structural relaxation, from Alexandria.

Properties
- Formation energy from the elements: -0.419 eV/atom
- Uncorrected energy: -2.73 eV per atom
- Density of states at the Fermi level: 3.24 states/eV/f.u.

Cell lengths 5.0047, 5.0047, 8.2865 Å; angles 90.00, 90.00, 120.00 degrees
With the nearest neighbours (Å) after each atom.
Space group P-3m1 (No. 164)
One atom of each set of equivalent atoms:
Ba: 0.0000 0.0000 0.0000  6 In 3.80, 6 Cd 3.86, 2 Tb 4.14
Tb: 0.0000 0.0000 0.5000  6 Cd 3.30, 6 In 3.34
Cd: 0.3333 0.6667 0.6918  3 In 2.89
In: 0.3333 0.6667 0.2972  3 Cd 2.89


# 15
The following is a PBE calculation of Pm7Cd2Pd2 after structural relaxation, from Alexandria.

Properties
- Formation energy from the elements: -0.255 eV/atom
- Uncorrected energy: -4.39 eV per atom
- Density of states at the Fermi level: 12.20 states/eV/f.u.

Cell lengths 8.1635, 11.3292, 7.3819 Å; angles 90.00, 90.00, 90.00 degrees
With the nearest neighbours (Å) after each atom.
Space group Cmmm (No. 65)
One atom of each set of equivalent atoms:
Pm: 0.0000 0.0000 0.0000  2 Pd 3.30
Pm: 0.0000 0.5000 0.2515  2 Pd 3.01, 2 Cd 3.25
Pm: 0.2500 0.2500 0.2591  2 Pd 2.84
Cd: 0.1715 0.0000 0.5000  1 Cd 2.80
Pd: 0.0000 0.2912 0.0000  6 Pm 2.84-3.01